# KLiBr2

An optimized crystal structure of KLiBr2 (PBE, Alexandria via LeMat-Bulk).

The crystal system is cubic. The formation energy from raw total energies comes out at -1.401 eV per atom. For the volume, the calculation gives 27.8 A^3/atom.

The space group is Fm-3m (No. 225) and the conventional cell measures 7.636, 7.636 and 7.636 Å, with angles of 90.00, 90.00 and 90.00 degrees. The inequivalent atoms are K at (0.000, 0.000, 0.000), Li at (0.000, 0.000, 0.500) and Br at (0.250, 0.250, 0.250).

# KLi3Br4

An optimized crystal structure of KLi3Br4 (PBE, Alexandria via LeMat-Bulk).

The crystal system is orthorhombic. The formation energy from raw total energies comes out at -1.568 eV per atom. For the volume, the calculation gives 30.4 A^3/atom.

The space group is Pmn2_1 (No. 31) and the conventional cell measures 9.104, 7.512 and 7.109 Å, with angles of 90.00, 90.00 and 90.00 degrees. The inequivalent atoms are K at (0.000, 0.174, 0.000), Li at (0.000, 0.810, 0.489), Li at (0.247, 0.337, 0.496), Br at (0.000, 0.152, 0.540), Br at (0.000, 0.766, 0.133) and Br at (0.210, 0.641, 0.644).

# KLi2Br

An optimized crystal structure of KLi2Br (PBE, Alexandria via LeMat-Bulk).

Its polymorph energy (0 for the lowest one) is 81 meV/atom. The crystal system is orthorhombic. The formation energy from raw total energies comes out at -0.589 eV per atom. For the volume, the calculation gives 30.7 A^3/atom.

The space group is Immm (No. 71) and the conventional cell measures 3.605, 5.615 and 12.150 Å, with angles of 90.00, 90.00 and 90.00 degrees. The inequivalent atoms are K at (0.000, 0.000, 0.000), Li at (0.000, 0.500, 0.190) and Br at (0.000, 0.000, 0.500).

# K2LiBr

An optimized crystal structure of K2LiBr (PBE, Alexandria via LeMat-Bulk).

Its polymorph energy (0 for the lowest one) is 44 meV/atom. The crystal system is orthorhombic. The formation energy from raw total energies comes out at -0.667 eV per atom. For the volume, the calculation gives 41.3 A^3/atom.

The space group is Amm2 (No. 38) and the conventional cell measures 4.353, 5.291 and 14.346 Å, with angles of 90.00, 90.00 and 90.00 degrees. The inequivalent atoms are K at (0.000, 0.000, 0.000), K at (0.500, 0.000, 0.309), Li at (0.500, 0.000, 0.620) and Br at (0.000, 0.000, 0.740).

# KLiBr2

An optimized crystal structure of KLiBr2 (PBE, Alexandria via LeMat-Bulk).

The crystal system is orthorhombic. The formation energy from raw total energies comes out at -1.501 eV per atom. For the volume, the calculation gives 31.7 A^3/atom.

The space group is Immm (No. 71) and the conventional cell measures 4.096, 7.338 and 8.428 Å, with angles of 90.00, 90.00 and 90.00 degrees. The inequivalent atoms are K at (0.000, 0.000, 0.000), Li at (0.000, 0.000, 0.500) and Br at (0.000, 0.500, 0.207).

# KLi2Br

An optimized crystal structure of KLi2Br (PBE, Alexandria via LeMat-Bulk).

Its polymorph energy (0 for the lowest one) is 0 meV/atom. The crystal system is orthorhombic. The formation energy from raw total energies comes out at -0.670 eV per atom. For the volume, the calculation gives 34.1 A^3/atom.

The space group is Immm (No. 71) and the conventional cell measures 4.491, 4.566 and 13.310 Å, with angles of 90.00, 90.00 and 90.00 degrees. The inequivalent atoms are K at (0.000, 0.000, 0.000), Li at (0.000, 0.000, 0.304) and Br at (0.000, 0.000, 0.500).

> formation energy from raw total energies of number 2 (KLi3Br4)?

-1.568 eV per atom

What did the first record say?
# KLiBr2

An optimized crystal structure of KLiBr2 (PBE, Alexandria via LeMat-Bulk).

The crystal system is cubic. The formation energy from raw total energies comes out at -1.401 eV per atom. For the volume, the calculation gives 27.8 A^3/atom.

The space group is Fm-3m (No. 225) and the conventional cell measures 7.636, 7.636 and 7.636 Å, with angles of 90.00, 90.00 and 90.00 degrees. The inequivalent atoms are K at (0.000, 0.000, 0.000), Li at (0.000, 0.000, 0.500) and Br at (0.250, 0.250, 0.250).